<A>
DFT (PBE) results for a geometry-optimized Pr3Ho2Tm3 structure.

Unit cell a=6.514 b=6.514 c=16.443 alpha=90.00 beta=90.00 gamma=129.95
Element x y z (fractional)
1 Pr 0.036 0.964 0.750
2 Pr 0.118 0.882 0.052
3 Pr 0.118 0.882 0.448
4 Pr 0.882 0.118 0.552
5 Pr 0.882 0.118 0.948
6 Pr 0.964 0.036 0.250
7 Ho 0.273 0.727 0.635
8 Ho 0.273 0.727 0.865
9 Ho 0.727 0.273 0.135
10 Ho 0.727 0.273 0.365
11 Tm 0.244 0.756 0.250
12 Tm 0.423 0.577 0.089
13 Tm 0.423 0.577 0.411
14 Tm 0.577 0.423 0.589
15 Tm 0.577 0.423 0.911
16 Tm 0.756 0.244 0.750

symmetry	Cmcm (63)
magnetic moment	0.0	μB per formula unit

<B>
DFT (PBE) results for a geometry-optimized Pr3Ho2Tm3 structure.

Unit cell a=16.358 b=5.704 c=6.022 alpha=90.00 beta=110.14 gamma=90.00
Element x y z (fractional)
1 Pr 0.000 0.000 0.000
2 Pr 0.136 0.000 0.701
3 Pr 0.364 0.500 0.299
4 Pr 0.500 0.500 0.000
5 Pr 0.636 0.500 0.701
6 Pr 0.864 0.000 0.299
7 Ho 0.250 0.000 0.319
8 Ho 0.250 0.500 0.681
9 Ho 0.750 0.000 0.681
10 Ho 0.750 0.500 0.319
11 Tm 0.000 0.500 0.500
12 Tm 0.133 0.500 0.082
13 Tm 0.367 0.000 0.918
14 Tm 0.500 0.000 0.500
15 Tm 0.633 0.000 0.082
16 Tm 0.867 0.500 0.918

symmetry	C2/m (12)
magnetic moment	0.0	μB per formula unit

It is <B> that is the most stable of them.

<A>
DFT (PBE) results for a geometry-optimized Pr3HoTm4 structure.

Unit cell a=3.480 b=11.671 c=13.004 alpha=90.00 beta=90.00 gamma=90.00
Element x y z (fractional)
1 Pr 0.000 0.000 0.000
2 Pr 0.000 0.500 0.244
3 Pr 0.000 0.500 0.756
4 Pr 0.500 0.000 0.256
5 Pr 0.500 0.000 0.744
6 Pr 0.500 0.500 0.500
7 Ho 0.000 0.000 0.500
8 Ho 0.500 0.500 0.000
9 Tm 0.000 0.244 0.365
10 Tm 0.000 0.244 0.635
11 Tm 0.000 0.756 0.365
12 Tm 0.000 0.756 0.635
13 Tm 0.500 0.256 0.135
14 Tm 0.500 0.256 0.865
15 Tm 0.500 0.744 0.135
16 Tm 0.500 0.744 0.865

symmetry	Immm (71)
magnetic moment	0.0	μB per formula unit

<B>
DFT (PBE) results for a geometry-optimized Pr3HoTm4 structure.

Unit cell a=11.426 b=7.311 c=6.274 alpha=90.00 beta=90.00 gamma=90.00
Element x y z (fractional)
1 Pr 0.000 0.129 0.000
2 Pr 0.250 0.128 0.338
3 Pr 0.250 0.872 0.838
4 Pr 0.500 0.871 0.500
5 Pr 0.750 0.128 0.338
6 Pr 0.750 0.872 0.838
7 Ho 0.000 0.867 0.498
8 Ho 0.500 0.133 0.998
9 Tm 0.000 0.380 0.501
10 Tm 0.000 0.619 0.003
11 Tm 0.248 0.620 0.336
12 Tm 0.252 0.380 0.836
13 Tm 0.500 0.381 0.503
14 Tm 0.500 0.620 0.001
15 Tm 0.748 0.380 0.836
16 Tm 0.752 0.620 0.336

symmetry	Pmn2_1 (31)
magnetic moment	0.0	μB per formula unit

It is <B> that is the most stable of them.

<A>
DFT (PBE) results for a geometry-optimized Pr2Ho5Tm3 structure.

Unit cell a=12.265 b=12.265 c=12.265 alpha=135.09 beta=56.17 gamma=148.05
Element x y z (fractional)
1 Pr 0.125 0.104 0.229
2 Pr 0.375 0.604 0.980
3 Pr 0.625 0.396 0.020
4 Pr 0.875 0.896 0.771
5 Ho 0.002 0.750 0.252
6 Ho 0.124 0.413 0.537
7 Ho 0.250 0.750 0.500
8 Ho 0.376 0.913 0.289
9 Ho 0.498 0.750 0.748
10 Ho 0.502 0.250 0.252
11 Ho 0.624 0.087 0.711
12 Ho 0.750 0.250 0.500
13 Ho 0.876 0.587 0.463
14 Ho 0.998 0.250 0.748
15 Tm 0.124 0.750 0.874
16 Tm 0.250 0.250 0.000
17 Tm 0.376 0.250 0.626
18 Tm 0.624 0.750 0.374
19 Tm 0.750 0.750 0.000
20 Tm 0.876 0.250 0.126

symmetry	Ibam (72)
magnetic moment	0.0	μB per formula unit

<B>
DFT (PBE) results for a geometry-optimized Pr2Ho5Tm3 structure.

Unit cell a=9.566 b=9.566 c=9.344 alpha=108.11 beta=108.11 gamma=112.84
Element x y z (fractional)
1 Pr 0.014 0.267 0.046
2 Pr 0.267 0.014 0.546
3 Pr 0.733 0.986 0.454
4 Pr 0.986 0.733 0.954
5 Ho 0.153 0.386 0.782
6 Ho 0.232 0.768 0.750
7 Ho 0.274 0.726 0.250
8 Ho 0.386 0.153 0.282
9 Ho 0.472 0.528 0.250
10 Ho 0.528 0.472 0.750
11 Ho 0.614 0.847 0.718
12 Ho 0.726 0.274 0.750
13 Ho 0.768 0.232 0.250
14 Ho 0.847 0.614 0.218
15 Tm 0.024 0.976 0.750
16 Tm 0.222 0.462 0.451
17 Tm 0.462 0.222 0.951
18 Tm 0.538 0.778 0.049
19 Tm 0.778 0.538 0.549
20 Tm 0.976 0.024 0.250

symmetry	C2/c (15)
magnetic moment	0.0	μB per formula unit

It is <B> that is the most stable of them.

<A>
DFT (PBE) results for a geometry-optimized Pr2HoTm7 structure.

Unit cell a=6.131 b=7.061 c=7.894 alpha=102.80 beta=97.41 gamma=106.80
Element x y z (fractional)
1 Pr 0.199 0.398 0.397
2 Pr 0.801 0.602 0.603
3 Ho 0.000 0.000 0.000
4 Tm 0.000 0.500 0.000
5 Tm 0.202 0.900 0.399
6 Tm 0.399 0.299 0.802
7 Tm 0.401 0.803 0.803
8 Tm 0.599 0.197 0.197
9 Tm 0.601 0.701 0.198
10 Tm 0.798 0.100 0.601

symmetry	P-1 (2)
magnetic moment	0.0	μB per formula unit

<B>
DFT (PBE) results for a geometry-optimized Pr2HoTm7 structure.

Unit cell a=14.687 b=14.687 c=3.495 alpha=90.00 beta=90.00 gamma=154.68
Element x y z (fractional)
1 Pr 0.208 0.792 0.000
2 Pr 0.792 0.208 0.000
3 Ho 0.500 0.500 0.500
4 Tm 0.000 0.000 0.000
5 Tm 0.157 0.352 0.000
6 Tm 0.317 0.683 0.500
7 Tm 0.352 0.157 0.000
8 Tm 0.648 0.843 0.000
9 Tm 0.683 0.317 0.500
10 Tm 0.843 0.648 0.000

symmetry	Cmmm (65)
magnetic moment	0.0	μB per formula unit

It is <A> that is the most stable of them.